KBaPS4: optimized geometry, PBE.

Cell lengths 6.826, 6.753, 9.356 Å; angles 90.00, 104.29, 90.00 degrees
Positions (direct):
K  0.240  0.250  0.450
K  0.760  0.750  0.550
Ba  0.273  0.250  0.962
Ba  0.727  0.750  0.038
P  0.306  0.750  0.209
P  0.694  0.250  0.791
S  0.093  0.750  0.329
S  0.178  0.750  0.983
S  0.489  0.505  0.255
S  0.489  0.995  0.255
S  0.511  0.005  0.745
S  0.511  0.495  0.745
S  0.822  0.250  0.017
S  0.907  0.250  0.671

Output
SG = P2_1/m
Spin magnetization = 0.00 μB per cell
DFT total energy = -4.7563 eV/atom
E above lowest polymorph = 0.000 eV per formula unit
DOS at the Fermi energy = 0.00 states/eV/cell
Formation energy (no corrections) = -1193 meV/atom

=====

Pm2Nd: optimized geometry, PBE.

Cell lengths 3.661, 3.661, 15.553 Å; angles 90.00, 90.00, 90.00 degrees
Positions (direct):
Pm  0.000  0.000  0.167
Pm  0.000  0.000  0.833
Pm  0.500  0.500  0.333
Pm  0.500  0.500  0.667
Nd  0.000  0.000  0.500
Nd  0.500  0.500  0.000

Output
SG = I4/mmm
ΔH_f (0 K) = 0.0 eV/f.u.
Spin magnetization = 0.00 μB per cell
DFT total energy = -4.7420 eV/atom
E above lowest polymorph = 0.014 eV per formula unit
DOS at the Fermi energy = 8.72 states/eV/cell

=====

Dy2Y8Sc: optimized geometry, PBE.

Cell lengths 9.129, 9.129, 5.827 Å; angles 104.93, 104.93, 121.56 degrees
Positions (direct):
Dy  0.194  0.806  0.000
Dy  0.806  0.194  0.000
Y  0.087  0.087  0.299
Y  0.171  0.400  0.833
Y  0.296  0.704  0.500
Y  0.400  0.171  0.833
Y  0.600  0.829  0.167
Y  0.704  0.296  0.500
Y  0.829  0.600  0.167
Y  0.913  0.913  0.701
Sc  0.500  0.500  0.500

Output
SG = C2/m
ΔH_f (0 K) = 1.9 eV/f.u.
Spin magnetization = 0.00 μB per cell
DFT total energy = -5.9406 eV/atom
DOS at the Fermi energy = 17.56 states/eV/cell

=====

Sm2ZnP: optimized geometry, PBE.

Cell lengths 3.933, 3.933, 28.365 Å; angles 90.00, 90.00, 120.00 degrees
Positions (direct):
Sm  0.000  0.000  0.111
Sm  0.000  0.000  0.889
Sm  0.333  0.667  0.556
Sm  0.333  0.667  0.777
Sm  0.667  0.333  0.223
Sm  0.667  0.333  0.444
Zn  0.000  0.000  0.000
Zn  0.333  0.667  0.667
Zn  0.667  0.333  0.333
P  0.000  0.000  0.500
P  0.333  0.667  0.167
P  0.667  0.333  0.833

Output
SG = R-3m
ΔH_f (0 K) = -1.8 eV/f.u.
Spin magnetization = 0.51 μB per cell
DFT total energy = -4.4913 eV/atom
E above lowest polymorph = 1.359 eV per formula unit
DOS at the Fermi energy = 15.45 states/eV/cell